Compound: SrLi3
Source: the Alexandria database
Functional: SCAN
Structure: PBEsol geometry

a b c (Å): 5.1517 6.7213 6.7030
angles (deg): 90.00 90.00 90.00
Space group Pmmn (No. 59, origin choice 2)
Symmetry-distinct sites (fractional):
Sr (0.2500, 0.2500, 0.1114) x2
Li (0.2500, 0.0195, 0.6178) x4
Li (0.2500, 0.7500, 0.2752) x2

The magnetic moment comes out at 0.043 μB/atom. As for the formation energy from the elements: 0.016 eV/atom.